No. 1
NbCoAu: optimized geometry, GGA-PBE.

Calculated values
DFT formation energy (eV/atom): 0.06
Space-group type: P3m1
Total DFT energy (no corrections) (eV/atom): -6.7558
Spin magnetization (μB/f.u.): 0.00
Theoretical density (Mg/m³): 12.47

abc: 4.363 4.363 2.819
angles: 90.00 90.00 120.00
Sites, in units of the cell vectors:
Nb: 0.000 0.000 0.000
Co: 0.667 0.333 0.860
Au: 0.333 0.667 0.459

=====

No. 2
Nb2CoAu: optimized geometry, GGA-PBE.

Calculated values
DFT formation energy (eV/atom): -0.11
Space-group type: P4/mmm
Total DFT energy (no corrections) (eV/atom): -7.7414
Spin magnetization (μB/f.u.): 0.29
Theoretical density (Mg/m³): 11.50

abc: 2.797 2.797 8.158
angles: 90.00 90.00 90.00
Sites, in units of the cell vectors:
Nb: 0.000 0.000 0.219
Nb: 0.000 0.000 0.781
Co: 0.500 0.500 0.000
Au: 0.500 0.500 0.500